Entry 1:
Density functional theory data (PBE) for a geometry-optimized GaBiPb2W structure.

Output
E_tot ... -16.371 eV for the cell shown
E_form ... 2.181 eV per atom
Spin magnetization ... 3.74 μB per formula unit

a = 6.7158 Å, b = 6.4693 Å, c = 6.7158 Å
α = 90.00°, β = 90.00°, γ = 90.00°
Sites, in units of the cell vectors:
Pb: 0.5000 0.0000 0.0000
Pb: 0.0000 0.0000 0.5000
Bi: 0.5000 0.5000 0.5000
W: 0.0000 0.5000 0.0000
Ga: 0.0000 0.0000 0.0000

***

Entry 2:
Density functional theory data (PBE) for a geometry-optimized Rb7I2ClO2 structure.

Output
Uncorrected formation energy ... -1.2579 eV/atom
E_tot ... -36.732 eV for the cell shown
Spin magnetization ... 0.18 μB per formula unit

a = 4.9011 Å, b = 7.5695 Å, c = 14.0261 Å
α = 105.65°, β = 100.06°, γ = 90.00°
Sites, in units of the cell vectors:
Rb: 0.3015 0.3995 0.6030
Rb: 0.6985 0.7965 0.3970
Rb: 0.8912 0.2678 0.7823
Rb: 0.5000 0.4083 0.0000
Rb: 0.5755 0.9565 0.1509
Rb: 0.4245 0.8055 0.8491
Rb: 0.1088 0.4855 0.2177
I: 0.3018 0.8977 0.6036
I: 0.6982 0.2940 0.3964
O: 0.4039 0.4547 0.8078
O: 0.5961 0.6470 0.1922
Cl: 0.0000 0.0867 0.0000

***

Entry 3:
Density functional theory data (PBE) for a geometry-optimized ZnCu2Ni structure.

Output
E_tot ... -15.497 eV for the cell shown
E_form ... -0.062 eV per atom
Spin magnetization ... 0.00 μB per formula unit

a = 4.9272 Å, b = 4.9272 Å, c = 4.9272 Å
α = 147.91°, β = 129.76°, γ = 60.87°
Sites, in units of the cell vectors:
Zn: 0.2500 0.7500 0.5000
Ni: 0.7500 0.2500 0.5000
Cu: 0.5022 0.5022 0.0000
Cu: 0.9978 0.9978 0.0000

***

Entry 4:
Density functional theory data (PBE) for a geometry-optimized PmErCoSi structure.

Output
Uncorrected formation energy ... -0.2873 eV/atom
E_tot ... -22.992 eV for the cell shown
Spin magnetization ... 0.83 μB per formula unit

a = 4.9192 Å, b = 4.9192 Å, c = 4.9192 Å
α = 60.00°, β = 60.00°, γ = 60.00°
Sites, in units of the cell vectors:
Pm: 0.7500 0.7500 0.7500
Si: 0.5000 0.5000 0.5000
Er: 0.2500 0.2500 0.2500
Co: 0.0000 0.0000 0.0000

***

Entry 5:
Density functional theory data (PBE) for a geometry-optimized NdDy2Zn structure.

Output
E_tot ... -14.867 eV for the cell shown
E_form ... 0.095 eV per atom
Spin magnetization ... 0.00 μB per formula unit
Energy above the lowest structure with this stoichiometry ... 1.031 eV per formula unit

a = 5.3766 Å, b = 5.3766 Å, c = 5.3795 Å
α = 60.02°, β = 60.02°, γ = 60.00°
Sites, in units of the cell vectors:
Dy: 0.7498 0.7498 0.7506
Dy: 0.2502 0.2502 0.2494
Zn: 0.0000 0.0000 0.0000
Nd: 0.5000 0.5000 0.5000

***

Entry 6:
Density functional theory data (PBE) for a geometry-optimized Y4ScRh structure.

Output
E_tot ... -36.363 eV for the cell shown
E_form ... 0.529 eV per atom
Spin magnetization ... 0.00 μB per formula unit
Energy above the lowest structure with this stoichiometry ... 4.552 eV per formula unit

a = 6.1815 Å, b = 6.1815 Å, c = 6.1815 Å
α = 60.00°, β = 60.00°, γ = 60.00°
Sites, in units of the cell vectors:
Y: 0.3753 0.8740 0.3753
Y: 0.8740 0.3753 0.3753
Y: 0.3753 0.3753 0.3753
Y: 0.3753 0.3753 0.8740
Sc: 0.0000 0.0000 0.0000
Rh: 0.7500 0.7500 0.7500